[1]
Density functional theory data (PBE-GGA) for Zn4Re3 after structural relaxation.

Structure (POSCAR):
```
Zn4Re3
1.0
-5.297 -1.189 -4.911
1.645 -0.461 -7.118
0.594 -4.390 0.422
Zn Re
8 6
direct
0.396 0.090 0.500
0.556 0.148 0.000
0.085 0.539 0.500
0.867 0.699 0.000
0.005 0.010 0.000
0.809 0.952 0.500
0.947 0.228 0.500
0.143 0.286 0.000
0.283 0.595 0.000
0.669 0.644 0.500
0.452 0.837 0.000
0.694 0.426 0.000
0.258 0.812 0.500
0.501 0.401 0.500
```

Output
The calculation puts the total DFT energy (no corrections) at -5.815 eV/atom. As for the polymorph energy (0 for the lowest one): 0.032 eV per atom. As for the crystal system: hexagonal. For the total magnetization, the calculation gives 0.05 μB per formula unit.

=====

[2]
Density functional theory data (PBE-GGA) for LuCoSiNi after structural relaxation.

Structure (POSCAR):
```
LuCoSiNi
1.0
0.000 3.079 3.079
3.079 0.000 3.079
3.079 3.079 0.000
Co Ni Si Lu
1 1 1 1
direct
0.750 0.750 0.750
0.500 0.500 0.500
0.000 0.000 0.000
0.250 0.250 0.250
```

Output
The calculation puts the total DFT energy (no corrections) at -5.808 eV/atom. As for the polymorph energy (0 for the lowest one): 0.294 eV per atom. As for the crystal system: cubic. For the total magnetization, the calculation gives 1.28 μB per formula unit.

=====

[3]
Density functional theory data (PBE-GGA) for Zr2Sn after structural relaxation.

Structure (POSCAR):
```
Zr2Sn
1.0
5.393 12.823 0.000
-5.472 6.446 0.000
0.000 0.000 5.294
Zr Sn
16 8
direct
0.420 0.940 0.000
0.608 0.278 0.500
0.254 0.769 0.000
0.912 0.388 0.000
0.586 0.083 0.000
0.940 0.592 0.500
0.031 0.171 0.500
0.527 0.711 0.500
0.116 0.762 0.500
0.163 0.190 0.000
0.078 0.600 0.000
0.668 0.650 0.000
0.282 0.973 0.500
0.498 0.513 0.000
0.697 0.848 0.500
0.775 0.421 0.500
0.736 0.253 0.000
0.458 0.108 0.500
0.365 0.562 0.500
0.176 0.372 0.500
0.829 0.799 0.000
0.329 0.359 0.000
0.865 0.002 0.500
0.019 0.989 0.000
```

Output
The calculation puts the total DFT energy (no corrections) at -7.235 eV/atom. As for the crystal system: monoclinic. For the total magnetization, the calculation gives 0.01 μB per formula unit.

=====

[4]
Density functional theory data (PBE-GGA) for Pr2SmZn2Si4Pd2 after structural relaxation.

Structure (POSCAR):
```
Pr2SmZn2Si4Pd2
1.0
6.377 9.411 5.578
1.434 12.055 3.602
-5.222 -11.362 -2.001
Pd Zn Pr Si Sm
2 2 2 4 1
direct
0.250 0.250 0.000
0.750 0.750 0.000
0.596 0.096 0.500
0.404 0.904 0.500
0.147 0.647 0.500
0.853 0.353 0.500
0.548 0.548 0.000
0.696 0.196 0.500
0.304 0.804 0.500
0.452 0.452 0.000
0.000 0.000 0.000
```

Output
The calculation puts the total DFT energy (no corrections) at -5.197 eV/atom. As for the crystal system: orthorhombic. For the total magnetization, the calculation gives 0.01 μB per formula unit.

=====

Repeat the first record exactly.
Density functional theory data (PBE-GGA) for Zn4Re3 after structural relaxation.

Structure (POSCAR):
```
Zn4Re3
1.0
-5.297 -1.189 -4.911
1.645 -0.461 -7.118
0.594 -4.390 0.422
Zn Re
8 6
direct
0.396 0.090 0.500
0.556 0.148 0.000
0.085 0.539 0.500
0.867 0.699 0.000
0.005 0.010 0.000
0.809 0.952 0.500
0.947 0.228 0.500
0.143 0.286 0.000
0.283 0.595 0.000
0.669 0.644 0.500
0.452 0.837 0.000
0.694 0.426 0.000
0.258 0.812 0.500
0.501 0.401 0.500
```

Output
The calculation puts the total DFT energy (no corrections) at -5.815 eV/atom. As for the polymorph energy (0 for the lowest one): 0.032 eV per atom. As for the crystal system: hexagonal. For the total magnetization, the calculation gives 0.05 μB per formula unit.